# 1
The following is a DFT calculation (PBE-GGA) of crystalline Pm2NdCo3 at its relaxed geometry.

Computed properties:
- Final energy: -72.09 eV/cell
- ΔH_f (0 K): -0.08 eV/atom

Lattice parameters (Å, degrees): 4.6124 8.1189 8.1170 120.01 90.00 90.00
Element x y z (fractional)
Pm 0.7500 0.5009 0.3342
Pm 0.2500 0.4991 0.6658
Pm 0.2500 0.8333 0.3342
Pm 0.7500 0.1667 0.6658
Nd 0.2500 0.1675 0.0000
Nd 0.7500 0.8325 0.0000
Co 0.0000 0.1674 0.3349
Co 0.5000 0.8326 0.6651
Co 0.0000 0.5000 0.0000
Co 0.5000 0.5000 0.0000
Co 0.0000 0.8326 0.6651
Co 0.5000 0.1674 0.3349

# 2
The following is a DFT calculation (PBE-GGA) of crystalline Pm2NdCo at its relaxed geometry.

Computed properties:
- Energy relative to the lowest polymorph listed for this composition: 107 meV per atom
- Final energy: -21.25 eV/cell
- ΔH_f (0 K): 0.03 eV/atom

Lattice parameters (Å, degrees): 3.4997 3.4997 9.1685 90.00 90.00 90.00
Element x y z (fractional)
Co 0.5000 0.5000 0.0000
Nd 0.5000 0.5000 0.5000
Pm 0.0000 0.0000 0.8196
Pm 0.0000 0.0000 0.1804

# 3
The following is a DFT calculation (PBE-GGA) of crystalline PmNd4Co at its relaxed geometry.

Computed properties:
- Energy relative to the lowest polymorph listed for this composition: 0 meV per atom
- Final energy: -61.61 eV/cell
- ΔH_f (0 K): 0.02 eV/atom

Lattice parameters (Å, degrees): 6.0560 7.3931 9.7125 112.37 108.19 90.00
Element x y z (fractional)
Pm 0.8039 0.8027 0.6053
Pm 0.1961 0.1973 0.3947
Nd 0.1748 0.6743 0.3486
Nd 0.3827 0.1307 0.7641
Nd 0.0000 0.2356 0.0000
Nd 0.6173 0.3665 0.2359
Nd 0.8252 0.3257 0.6514
Nd 0.6173 0.8693 0.2359
Nd 0.0000 0.7644 0.0000
Nd 0.3827 0.6335 0.7641
Co 0.3157 0.5007 0.0013
Co 0.6843 0.4993 0.9987

# 4
The following is a DFT calculation (PBE-GGA) of crystalline Pm4NdCo2 at its relaxed geometry.

Computed properties:
- Energy relative to the lowest polymorph listed for this composition: 0 meV per atom
- Final energy: -76.21 eV/cell
- ΔH_f (0 K): -0.02 eV/atom

Lattice parameters (Å, degrees): 6.7196 8.9527 6.9930 113.02 90.00 90.00
Element x y z (fractional)
Co 0.2500 0.3364 0.9611
Co 0.7500 0.6636 0.0389
Co 0.7500 0.3360 0.3748
Co 0.2500 0.6640 0.6252
Nd 0.2500 0.7926 0.0250
Nd 0.7500 0.2074 0.9750
Pm 0.5001 0.4349 0.7171
Pm 0.2500 0.2091 0.2322
Pm 0.7500 0.7909 0.7678
Pm 0.9999 0.4349 0.7171
Pm 0.7500 0.0002 0.3334
Pm 0.0001 0.5651 0.2829
Pm 0.4999 0.5651 0.2829
Pm 0.2500 0.9998 0.6666

# 5
The following is a DFT calculation (PBE-GGA) of crystalline PmNd6Co3 at its relaxed geometry.

Computed properties:
- Final energy: -108.45 eV/cell
- ΔH_f (0 K): 0.05 eV/atom

Lattice parameters (Å, degrees): 7.2325 8.5553 8.5553 90.24 90.00 90.00
Element x y z (fractional)
Pm 0.1529 0.2983 0.7017
Pm 0.6529 0.7017 0.2983
Nd 0.1238 0.7036 0.7039
Nd 0.6238 0.7039 0.7036
Nd 0.3743 0.5503 0.0101
Nd 0.8743 0.0101 0.5503
Nd 0.1208 0.0012 0.9988
Nd 0.5968 0.2975 0.7025
Nd 0.0968 0.7025 0.2975
Nd 0.6208 0.9988 0.0012
Nd 0.3743 0.9899 0.4497
Nd 0.8743 0.4497 0.9899
Nd 0.1238 0.2961 0.2964
Nd 0.6238 0.2964 0.2961
Co 0.3719 0.9941 0.7495
Co 0.8719 0.7495 0.9941
Co 0.3747 0.5043 0.4957
Co 0.8747 0.4957 0.5043
Co 0.8719 0.0059 0.2505
Co 0.3719 0.2505 0.0059

# 6
The following is a DFT calculation (PBE-GGA) of crystalline PmNd4Co at its relaxed geometry.

Computed properties:
- Energy relative to the lowest polymorph listed for this composition: 321 meV per atom
- Final energy: -28.88 eV/cell
- ΔH_f (0 K): 0.34 eV/atom

Lattice parameters (Å, degrees): 4.8084 4.8084 8.9992 90.00 90.00 90.00
Element x y z (fractional)
Pm 0.0000 0.0000 0.0000
Nd 0.5000 0.0000 0.3150
Nd 0.0000 0.5000 0.3150
Nd 0.0000 0.5000 0.6850
Nd 0.5000 0.0000 0.6850
Co 0.5000 0.5000 0.5000

# 7
The following is a DFT calculation (PBE-GGA) of crystalline PmNd2Co9 at its relaxed geometry.

Computed properties:
- Final energy: -78.89 eV/cell
- ΔH_f (0 K): -0.05 eV/atom

Lattice parameters (Å, degrees): 5.0423 5.0423 8.7781 73.31 73.31 60.00
Element x y z (fractional)
Pm 0.0000 0.0000 0.0000
Nd 0.8602 0.8602 0.4195
Nd 0.1398 0.1398 0.5805
Co 0.6665 0.6665 0.0005
Co 0.3335 0.3335 0.9995
Co 0.5000 0.5000 0.5000
Co 0.4217 0.4217 0.2381
Co 0.9185 0.4217 0.2381
Co 0.4217 0.9185 0.2381
Co 0.5783 0.5783 0.7619
Co 0.5783 0.0815 0.7619
Co 0.0815 0.5783 0.7619

# 8
The following is a DFT calculation (PBE-GGA) of crystalline PmNdCo10 at its relaxed geometry.

Computed properties:
- Final energy: -81.10 eV/cell
- ΔH_f (0 K): -0.04 eV/atom

Lattice parameters (Å, degrees): 3.9413 4.9994 8.6732 90.00 90.00 90.00
Element x y z (fractional)
Pm 0.0000 0.5000 0.5000
Nd 0.0000 0.0000 0.0000
Co 0.0000 0.0000 0.3339
Co 0.0000 0.5000 0.8314
Co 0.0000 0.5000 0.1686
Co 0.0000 0.0000 0.6661
Co 0.5000 0.0000 0.5000
Co 0.5000 0.5000 0.0000
Co 0.5000 0.2507 0.2510
Co 0.5000 0.7493 0.7490
Co 0.5000 0.7493 0.2510
Co 0.5000 0.2507 0.7490